SrPAu2 after structural relaxation. Source: the Alexandria database, functional GGA-PBEsol.

It has space group Pmm2 (No. 25), with a = 3.494 Å, b = 3.545 Å, c = 6.863 Å, α = 90.00°, β = 90.00° and γ = 90.00°. Symmetry generates all atoms from Sr at (0.000, 0.000, 0.000), P at (0.500, 0.500, 0.646), Au at (0.000, 0.000, 0.548) and Au at (0.500, 0.500, 0.279).

The calculated formation energy is -1.04 eV per formula unit.

***

ZrAgHgMo2 after structural relaxation. Source: the Alexandria database, functional GGA-PBEsol.

It has space group P4/mmm (No. 123), with a = 4.890 Å, b = 4.890 Å, c = 5.097 Å, α = 90.00°, β = 90.00° and γ = 90.00°. Symmetry generates all atoms from Zr at (0.000, 0.000, 0.000), Ag at (0.500, 0.500, 0.000), Hg at (0.000, 0.000, 0.500) and Mo at (0.000, 0.500, 0.500).

The calculated formation energy is 10.82 eV per formula unit.

***

Te2HS after structural relaxation. Source: the Alexandria database, functional GGA-PBEsol.

It has space group Fm-3m (No. 225), with a = 6.695 Å, b = 6.695 Å, c = 6.695 Å, α = 90.00°, β = 90.00° and γ = 90.00°. Symmetry generates all atoms from Te at (0.250, 0.250, 0.250), H at (0.000, 0.000, 0.000) and S at (0.000, 0.000, 0.500).

As for the energy above the most stable polymorph in this dataset: 315.6 meV per atom.

***

BaSrSeBr2 after structural relaxation. Source: the Alexandria database, functional GGA-PBEsol.

It has space group P4/mmm (No. 123), with a = 5.629 Å, b = 5.629 Å, c = 5.879 Å, α = 90.00°, β = 90.00° and γ = 90.00°. Symmetry generates all atoms from Ba at (0.000, 0.000, 0.000), Sr at (0.500, 0.500, 0.500), Se at (0.500, 0.500, 0.000) and Br at (0.000, 0.500, 0.500).

The calculation puts the final energy at -4.05 eV/atom.

***

Tc2TeSe after structural relaxation. Source: the Alexandria database, functional GGA-PBEsol.

It has space group Cmm2 (No. 35), with a = 3.092 Å, b = 4.993 Å, c = 9.752 Å, α = 90.00°, β = 90.00° and γ = 90.00°. Symmetry generates all atoms from Tc at (0.000, 0.000, 0.000), Tc at (0.000, 0.500, 0.200), Te at (0.000, 0.000, 0.439) and Se at (0.000, 0.500, 0.790).

As for the energy above the most stable polymorph in this dataset: 470.9 meV per atom.

***

Sm3Pt4 after structural relaxation. Source: the Alexandria database, functional GGA-PBEsol.

It has space group R-3 (No. 148, hexagonal axes), with a = 13.3043 Å, b = 13.3043 Å, c = 5.7121 Å, α = 90.00°, β = 90.00° and γ = 120.00°. Symmetry generates all atoms from Sm at (0.0436, 0.2100, 0.2386), Pt at (0.0000, 0.0000, 0.0000), Pt at (0.0000, 0.0000, 0.5000) and Pt at (0.0553, 0.2751, 0.7220).

The calculated formation energy is -7.61 eV per formula unit.

***

Er7Ag2Te2 after structural relaxation. Source: the Alexandria database, functional GGA-PBEsol.

It has space group Imm2 (No. 44), with a = 4.007 Å, b = 15.231 Å, c = 9.439 Å, α = 90.00°, β = 90.00° and γ = 90.00°. Symmetry generates all atoms from Er at (0.000, 0.000, 0.000), Er at (0.000, 0.126, 0.412), Er at (0.000, 0.316, 0.624), Er at (0.000, 0.360, 0.255), Ag at (0.000, 0.235, 0.926), Te at (0.000, 0.000, 0.661) and Te at (0.000, 0.500, 0.762).

The calculation puts the final energy at -4.98 eV/atom.

***

Li4Mn3O7 after structural relaxation. Source: the Alexandria database, functional GGA-PBEsol.

It has space group C2/m (No. 12), with a = 4.857 Å, b = 19.671 Å, c = 5.007 Å, α = 90.00°, β = 108.84° and γ = 90.00°. Symmetry generates all atoms from Li at (0.000, 0.000, 0.000), Li at (0.000, 0.067, 0.500), Li at (0.000, 0.214, 0.500), Li at (0.000, 0.359, 0.500), Li at (0.000, 0.500, 0.500), Mn at (0.000, 0.142, 0.000), Mn at (0.000, 0.287, 0.000), Mn at (0.000, 0.430, 0.000), O at (0.225, 0.500, 0.232), O at (0.240, 0.215, 0.226), O at (0.244, 0.357, 0.226) and O at (0.249, 0.424, 0.774).

As for the energy above the most stable polymorph in this dataset: 0.0 meV per atom.

***

TaMo after structural relaxation. Source: the Alexandria database, functional GGA-PBEsol.

It has space group C2/c (No. 15), with a = 5.492 Å, b = 9.115 Å, c = 5.521 Å, α = 90.00°, β = 109.25° and γ = 90.00°. Symmetry generates all atoms from Ta at (0.000, 0.007, 0.250), Ta at (0.250, 0.250, 0.000), Mo at (0.000, 0.496, 0.250) and Mo at (0.250, 0.250, 0.500).

The calculated formation energy is -0.27 eV per formula unit.

***

Sr3PtF after structural relaxation. Source: the Alexandria database, functional GGA-PBEsol.

It has space group Pm-3m (No. 221), with a = 5.800 Å, b = 5.800 Å, c = 5.800 Å, α = 90.00°, β = 90.00° and γ = 90.00°. Symmetry generates all atoms from Sr at (0.000, 0.000, 0.500), Pt at (0.000, 0.000, 0.000) and F at (0.500, 0.500, 0.500).

The calculation puts the final energy at -3.70 eV/atom.

***

SiTeRh2 after structural relaxation. Source: the Alexandria database, functional GGA-PBEsol.

It has space group Cmmm (No. 65), with a = 4.175 Å, b = 4.182 Å, c = 7.118 Å, α = 90.00°, β = 90.00° and γ = 90.00°. Symmetry generates all atoms from Si at (0.000, 0.000, 0.000), Te at (0.000, 0.000, 0.500) and Rh at (0.000, 0.500, 0.192).

As for the energy above the most stable polymorph in this dataset: 0.0 meV per atom.

***

NbRe2Mo after structural relaxation. Source: the Alexandria database, functional GGA-PBEsol.

It has space group Fm-3m (No. 225), with a = 6.278 Å, b = 6.278 Å, c = 6.278 Å, α = 90.00°, β = 90.00° and γ = 90.00°. Symmetry generates all atoms from Nb at (0.000, 0.000, 0.000), Re at (0.250, 0.250, 0.250) and Mo at (0.000, 0.000, 0.500).

The calculated formation energy is -0.22 eV per formula unit.